(1)
Pm2CN (PBE-GGA, relaxed); magnetization = 0.00 μB per atom; symmetry = No. 166; raw formation energy = -2.220 eV per formula unit
1.0
1.8263 1.0544 6.0910
-1.8263 1.0544 6.0910
0.0000 -2.1089 6.0910
Pm C N
2 1 1
Cartesian
0.0000 0.0000 4.5120
0.0000 0.0000 13.7609
0.0000 0.0000 0.0000
0.0000 0.0000 9.1364

(2)
PmCN (PBE-GGA, relaxed); magnetization = 0.33 μB per atom; symmetry = No. 12; raw formation energy = -0.407 eV per formula unit
1.0
3.4904 -1.9842 0.0000
3.4904 1.9842 0.0000
-0.5783 0.0000 7.0837
Pm C N
2 2 2
Cartesian
0.8714 0.0000 2.0044
5.5312 0.0000 5.0793
3.0199 0.0000 0.4225
3.3827 0.0000 6.6612
0.9006 0.0000 4.3981
5.5020 0.0000 2.6855

(3)
PmC3N6 (PBE-GGA, relaxed); magnetization = 0.30 μB per atom; symmetry = No. 160; raw formation energy = 1.127 eV per formula unit
1.0
5.7289 3.3076 1.2930
-5.7289 3.3076 1.2930
0.0000 -6.6152 1.2930
Pm C N
1 3 6
Cartesian
0.0000 0.0000 0.0000
0.0000 -2.9557 1.7120
-2.5597 1.4778 1.7120
2.5597 1.4778 1.7120
0.0000 -4.1447 1.4560
-3.5894 2.0723 1.4560
0.0000 -1.7333 1.9299
-1.5011 0.8667 1.9299
1.5011 0.8667 1.9299
3.5894 2.0723 1.4560

(4)
Pm2Pr2CN2 (PBE-GGA, relaxed); magnetization = 0.00 μB per atom; symmetry = No. 12; raw formation energy = -5.122 eV per formula unit
1.0
6.9500 -1.8228 0.0000
6.9500 1.8228 0.0000
-2.8012 0.0000 5.6626
Pm Pr C N
2 2 1 2
Cartesian
1.0270 0.0000 1.7853
10.0718 0.0000 3.8773
4.5787 0.0000 1.2165
6.5201 0.0000 4.4460
-1.4006 0.0000 2.8313
1.5639 0.0000 4.2075
9.5349 0.0000 1.4551

(5)
Pm3RhC2N6 (PBE-GGA, relaxed); magnetization = 0.00 μB per atom; symmetry = No. 164; raw formation energy = -6.153 eV per formula unit
1.0
5.2769 0.0000 0.0000
-2.6385 4.5699 0.0000
0.0000 0.0000 6.5012
Pm Rh C N
3 1 2 6
Cartesian
0.0000 0.0000 0.0000
0.0000 3.0466 4.3577
2.6385 1.5233 2.1435
0.0000 0.0000 3.2506
0.0000 3.0466 1.7545
2.6385 1.5233 4.7467
0.0000 1.6735 1.7364
-1.1891 3.7332 1.7364
1.4493 0.8368 4.7648
1.1891 3.7332 1.7364
3.8276 0.8368 4.7648
2.6385 2.8964 4.7648

(6)
PmRhCN (PBE-GGA, relaxed); magnetization = 0.00 μB per atom; symmetry = No. 129; raw formation energy = -2.373 eV per formula unit
1.0
3.7534 0.0000 0.0000
0.0000 3.7534 0.0000
0.0000 0.0000 7.4522
Pm Rh C N
2 2 2 2
Cartesian
0.9384 0.9384 1.2667
2.8151 2.8151 6.1854
0.9384 2.8151 3.7261
2.8151 0.9384 3.7261
0.9384 0.9384 4.9129
2.8151 2.8151 2.5393
0.9384 0.9384 6.2870
2.8151 2.8151 1.1651

(7)
Pm2RhC2N6 (PBE-GGA, relaxed); magnetization = 0.00 μB per atom; symmetry = No. 166; raw formation energy = -3.787 eV per formula unit
1.0
2.5583 1.4770 5.3111
-2.5583 1.4770 5.3111
0.0000 -2.9540 5.3111
Pm Rh C N
2 1 2 6
Cartesian
0.0000 0.0000 3.4617
0.0000 0.0000 12.4715
0.0000 0.0000 0.0000
0.0000 0.0000 6.5644
0.0000 0.0000 9.3688
0.0000 -1.3627 6.6675
-1.1801 0.6813 6.6675
-1.1801 -0.6813 9.2657
1.1801 0.6813 6.6675
1.1801 -0.6813 9.2657
0.0000 1.3627 9.2657

(8)
Pm2RuC2N6 (PBE-GGA, relaxed); magnetization = 0.00 μB per atom; symmetry = No. 166; raw formation energy = -4.260 eV per formula unit
1.0
2.5653 1.4811 5.2324
-2.5653 1.4811 5.2324
0.0000 -2.9622 5.2324
Pm Ru C N
2 1 2 6
Cartesian
0.0000 0.0000 3.4349
0.0000 0.0000 12.2623
0.0000 0.0000 0.0000
0.0000 0.0000 6.4594
0.0000 0.0000 9.2378
0.0000 -1.3609 6.5401
-1.1786 0.6805 6.5401
-1.1786 -0.6805 9.1571
1.1786 0.6805 6.5401
1.1786 -0.6805 9.1571
0.0000 1.3609 9.1571

(9)
Pm8C3S3N (PBE-GGA, relaxed); magnetization = 0.07 μB per atom; symmetry = No. 166; raw formation energy = -16.513 eV per formula unit
1.0
3.8011 2.1946 6.5527
-3.8011 2.1946 6.5527
0.0000 -4.3892 6.5527
Pm C S N
8 3 3 1
Cartesian
0.0000 0.0000 4.7080
-1.8878 -1.0899 11.2117
0.0000 -2.1799 8.4463
-1.8878 1.0899 8.4463
1.8878 -1.0899 11.2117
0.0000 2.1799 11.2117
1.8878 1.0899 8.4463
0.0000 0.0000 14.9500
-3.8011 0.0000 9.8290
-1.9006 1.0973 3.2763
1.9006 1.0973 3.2763
-1.9006 -1.0973 6.5527
-1.9006 1.0973 13.1053
0.0000 2.1946 6.5527
0.0000 0.0000 9.8290

(10)
Pm8CS4N3 (PBE-GGA, relaxed); magnetization = 0.00 μB per atom; symmetry = No. 166; raw formation energy = -25.962 eV per formula unit
1.0
3.7804 2.1826 6.4926
-3.7804 2.1826 6.4926
0.0000 -4.3652 6.4926
Pm C S N
8 1 4 3
Cartesian
0.0000 0.0000 4.6182
-1.8918 -1.0922 11.1286
0.0000 -2.1844 8.3493
-1.8918 1.0922 8.3493
1.8918 -1.0922 11.1286
0.0000 2.1844 11.1286
1.8918 1.0922 8.3493
0.0000 0.0000 14.8598
0.0000 0.0000 9.7390
0.0000 0.0000 0.0000
-1.8902 -1.0913 6.4926
-1.8902 1.0913 12.9853
0.0000 2.1826 6.4926
-3.7804 0.0000 9.7390
-1.8902 1.0913 3.2463
1.8902 1.0913 3.2463

(11)
Pm6CS3N2 (PBE-GGA, relaxed); magnetization = 0.00 μB per atom; symmetry = No. 12; raw formation energy = -18.908 eV per formula unit
1.0
3.2782 -5.6793 0.0000
3.2782 5.6793 0.0000
-2.1812 0.0000 6.5073
Pm C S N
6 1 3 2
Cartesian
0.0006 1.8990 5.1153
1.0855 0.0000 1.3868
0.0006 -1.8990 5.1153
4.3747 1.8990 1.3920
3.2897 0.0000 5.1205
4.3747 -1.8990 1.3920
3.2782 0.0000 0.0000
-1.0906 0.0000 3.2536
2.1876 1.8819 3.2536
2.1876 -1.8819 3.2536
3.2782 3.7855 0.0000
3.2782 -3.7855 0.0000

(12)
Pm4CS2N (PBE-GGA, relaxed); magnetization = 0.00 μB per atom; symmetry = No. 10; raw formation energy = -11.800 eV per formula unit
1.0
6.5845 0.0000 0.0000
0.0000 3.8083 0.0000
-2.1969 0.0000 6.5085
Pm C S N
4 1 2 1
Cartesian
1.0971 0.0000 1.3864
-0.0017 1.9042 5.0994
4.3893 1.9042 1.4091
3.2904 0.0000 5.1221
3.2922 0.0000 0.0000
-1.0985 0.0000 3.2542
2.1938 1.9042 3.2542
0.0000 1.9042 0.0000

(13)
Pm2CS2N2 (PBE-GGA, relaxed); magnetization = 0.00 μB per atom; symmetry = No. 12; raw formation energy = -9.797 eV per formula unit
1.0
4.6327 -2.0711 0.0000
4.6327 2.0711 0.0000
-1.0392 0.0000 6.9060
Pm C S N
2 1 2 2
Cartesian
1.4314 0.0000 1.6983
6.7948 0.0000 5.2077
4.1131 0.0000 3.4530
0.3084 0.0000 5.8024
7.9178 0.0000 1.1035
2.9374 0.0000 3.8356
5.2888 0.0000 3.0704

(14)
Pm2CSe2N2 (PBE-GGA, relaxed); magnetization = 0.00 μB per atom; symmetry = No. 12; raw formation energy = -9.041 eV per formula unit
1.0
4.7881 -2.1219 0.0000
4.7881 2.1219 0.0000
-0.9803 0.0000 7.0311
Pm C Se N
2 1 2 2
Cartesian
1.4930 0.0000 1.8163
7.1030 0.0000 5.2149
4.2980 0.0000 3.5156
0.3891 0.0000 5.9017
8.2069 0.0000 1.1295
3.1117 0.0000 3.8730
5.4843 0.0000 3.1582

(15)
Pm8CSe4N3 (PBE-GGA, relaxed); magnetization = 0.00 μB per atom; symmetry = No. 166; raw formation energy = -24.011 eV per formula unit
1.0
3.8235 2.2075 6.7341
-3.8235 2.2075 6.7341
0.0000 -4.4149 6.7341
Pm C Se N
8 1 4 3
Cartesian
0.0000 0.0000 4.7242
-1.9133 -1.1046 11.4767
0.0000 -2.2093 8.7255
-1.9133 1.1046 8.7255
1.9133 -1.1046 11.4767
0.0000 2.2093 11.4767
1.9133 1.1046 8.7255
0.0000 0.0000 15.4780
0.0000 0.0000 10.1011
0.0000 0.0000 0.0000
-1.9117 -1.1037 6.7341
-1.9117 1.1037 13.4681
0.0000 2.2075 6.7341
-3.8234 0.0000 10.1011
-1.9117 1.1037 3.3670
1.9117 1.1037 3.3670

(16)
Pm8C3Se4N (PBE-GGA, relaxed); magnetization = 0.00 μB per atom; symmetry = No. 166; raw formation energy = -19.340 eV per formula unit
1.0
3.8726 2.2359 6.7759
-3.8726 2.2359 6.7759
0.0000 -4.4717 6.7759
Pm C Se N
8 3 4 1
Cartesian
-1.9390 -1.1195 11.5525
0.0000 0.0000 4.8050
0.0000 -2.2390 8.7753
-1.9390 1.1195 8.7753
1.9390 -1.1195 11.5525
0.0000 2.2390 11.5525
0.0000 0.0000 15.5228
1.9390 1.1195 8.7753
-3.8726 0.0000 10.1639
-1.9363 1.1179 3.3880
1.9363 1.1179 3.3880
0.0000 0.0000 0.0000
-1.9363 -1.1179 6.7759
-1.9363 1.1179 13.5518
0.0000 2.2358 6.7759
0.0000 0.0000 10.1639

(17)
Pm2Sm2CN2 (PBE-GGA, relaxed); magnetization = 0.00 μB per atom; symmetry = No. 12; raw formation energy = -5.577 eV per formula unit
1.0
6.8712 -1.7970 0.0000
6.8712 1.7970 0.0000
-2.8015 0.0000 5.5648
Pm Sm C N
2 2 1 2
Cartesian
0.9655 0.0000 1.5837
9.9755 0.0000 3.9812
4.4758 0.0000 1.0480
6.4652 0.0000 4.5168
6.8712 0.0000 0.0000
1.1663 0.0000 4.1837
9.7747 0.0000 1.3811

(18)
SrPm2C2N6 (PBE-GGA, relaxed); magnetization = 0.00 μB per atom; symmetry = No. 2; raw formation energy = -7.492 eV per formula unit
1.0
4.8776 0.0000 0.0000
1.6358 5.4898 0.0000
1.4950 2.2249 5.7769
Sr Pm C N
1 2 2 6
Cartesian
0.0000 0.0000 0.0000
2.1041 2.2737 2.2655
5.9042 5.4410 3.5113
3.4658 4.6996 4.4771
4.5425 3.0150 1.2998
2.6250 3.7177 4.0637
3.4554 5.9460 3.8725
4.3715 4.3863 5.5239
3.6369 3.3283 0.2530
4.5530 1.7686 1.9044
5.3834 3.9969 1.7132

(19)
Sr2PmC2N6 (PBE-GGA, relaxed); magnetization = 0.00 μB per atom; symmetry = No. 147; raw formation energy = -4.516 eV per formula unit
1.0
5.9169 0.0000 0.0000
-2.9584 5.1242 0.0000
0.0000 0.0000 5.4369
Sr Pm C N
2 1 2 6
Cartesian
0.0000 3.4161 1.5326
2.9584 1.7081 3.9043
0.0000 0.0000 0.0000
0.0000 3.4161 4.2121
2.9584 1.7081 1.2248
-0.0470 2.0776 4.1993
-1.1357 4.1260 4.1993
1.7758 1.0795 1.2376
1.1826 4.0447 4.1993
4.0941 0.9981 1.2376
3.0054 3.0465 1.2376

(20)
Pm2Tc2C2N (PBE-GGA, relaxed); magnetization = 0.00 μB per atom; symmetry = No. 12; raw formation energy = -2.583 eV per formula unit
1.0
5.5342 -1.7006 0.0000
5.5342 1.7006 0.0000
-3.7236 0.0000 5.4924
Pm Tc C N
2 2 2 1
Cartesian
-0.5115 0.0000 1.8373
7.8563 0.0000 3.6551
-0.0837 0.0000 4.9542
7.4284 0.0000 0.5383
2.5384 0.0000 1.4658
4.8064 0.0000 4.0266
5.5342 0.0000 0.0000